CaIBr3: relaxed, PBE.

The space group is Pm-3m (No. 221) and the conventional cell measures 5.934, 5.934 and 5.934 Å, with angles of 90.00, 90.00 and 90.00 degrees. Symmetry generates all atoms from Ca at (0.000, 0.000, 0.000), I at (0.500, 0.500, 0.500) and Br at (0.000, 0.500, 0.500).

The uncorrected energy is -1.946 eV per atom. Its total moment is 0.10 μB/f.u. The calculated density comes out at 3.2 g/cm3.


CaIBr: relaxed, PBE.

The space group is P3m1 (No. 156) and the conventional cell measures 4.4143, 4.4143 and 7.3303 Å, with angles of 90.00, 90.00 and 120.00 degrees. Symmetry generates all atoms from Ca at (0.0000, 0.0000, 0.0000), I at (0.6667, 0.3333, 0.2515) and Br at (0.3333, 0.6667, 0.7980).

The uncorrected energy is -3.569 eV per atom. Its total moment is 0.00 μB/f.u. The calculated density comes out at 3.3 g/cm3.


CaIBr2: relaxed, PBE.

The space group is Cm (No. 8) and the conventional cell measures 15.598, 4.135 and 6.114 Å, with angles of 90.00, 108.30 and 90.00 degrees. Symmetry generates all atoms from Ca at (0.000, 0.000, 0.000), I at (0.379, 0.000, 0.617), Br at (0.129, 0.500, 0.111) and Br at (0.382, 0.000, 0.125).

The uncorrected energy is -3.048 eV per atom. Its total moment is 0.00 μB/f.u. The calculated density comes out at 2.9 g/cm3.


CaIBr2: relaxed, PBE.

The space group is P1 (No. 1) and the conventional cell measures 5.654, 8.068 and 8.849 Å, with angles of 95.07, 107.92 and 106.91 degrees. Symmetry generates all atoms from Ca at (0.000, 0.000, 0.000), Ca at (0.343, 0.062, 0.611), I at (0.144, 0.653, 0.489), I at (0.544, 0.622, 0.770), Br at (0.241, 0.185, 0.322), Br at (0.517, 0.090, 0.962), Br at (0.899, 0.118, 0.682) and Br at (0.962, 0.650, 0.055).

The uncorrected energy is -3.138 eV per atom. Its total moment is 0.00 μB/f.u. The calculated density comes out at 3.0 g/cm3.


CaIBr2: relaxed, PBE.

The space group is R-3m (No. 166, hexagonal axes) and the conventional cell measures 4.0915, 4.0915 and 37.7342 Å, with angles of 90.00, 90.00 and 120.00 degrees. Symmetry generates all atoms from Ca at (0.0000, 0.0000, 0.0000), I at (0.0000, 0.0000, 0.5000) and Br at (0.0000, 0.0000, 0.3772).

The uncorrected energy is -3.040 eV per atom. Its total moment is 0.86 μB/f.u. The calculated density comes out at 3.0 g/cm3.


CaIBr2: relaxed, PBE.

The space group is Fm-3m (No. 225) and the conventional cell measures 7.893, 7.893 and 7.893 Å, with angles of 90.00, 90.00 and 90.00 degrees. Symmetry generates all atoms from Ca at (0.000, 0.000, 0.000), I at (0.000, 0.000, 0.500) and Br at (0.250, 0.250, 0.250).

The uncorrected energy is -2.630 eV per atom. Its total moment is 1.00 μB/f.u. The calculated density comes out at 4.4 g/cm3.


Let's list density of states at the Fermi level in order: 6.144; 0.000; 2.322; 0.000; 7.647; 22.663 states/eV/cell.
Let's list distance to the lowest polymorph of the same formula in order: 0.641; 0.005; 0.163; 0.073; 0.172; 0.581 eV/atom.
Let's list V in order: 41.786; 41.234; 46.796; 45.047; 45.588; 30.734 A^3/atom.